1.
A relaxed structure of MgSiSnHS. Source: the Alexandria database, functional GGA-PBE.

- volume (Å³ per cell) = 104.3
- N(E_F) (states/eV per atom) = 0.1220
- total energy (eV for the cell shown) = -19.32

abc: 4.066 4.192 7.009
angles: 83.86 85.39 61.47
Space group P1 (No. 1)
Symmetry-distinct sites (fractional):
1 Mg 0.000 0.000 0.000 [1 per cell]
2 Si 0.346 0.469 0.551 [1 per cell]
3 Sn 0.684 0.845 0.397 [1 per cell]
4 H 0.309 0.885 0.220 [1 per cell]
5 S 0.336 0.371 0.872 [1 per cell]

=====

2.
A relaxed structure of TlAsPb2. Source: the Alexandria database, functional GGA-PBE.

- formation energy from the elements (eV per formula unit) = 0.6
- volume (Å³ per cell) = 227.9
- N(E_F) (states/eV per atom) = 0.5069
- total energy (eV for the cell shown) = -27.71

abc: 6.904 11.188 3.347
angles: 90.00 118.17 90.00
Space group C2/m (No. 12)
Symmetry-distinct sites (fractional):
1 Tl 0.000 0.000 0.000 [2 per cell]
2 As 0.000 0.500 0.000 [2 per cell]
3 Pb 0.250 0.250 0.500 [4 per cell]

=====

3.
A relaxed structure of Rb2CaAsCl6. Source: the Alexandria database, functional GGA-PBE.

- formation energy from raw total energies (meV/atom) = -1510
- volume (Å³ per cell) = 632.7
- N(E_F) (states/eV per atom) = 0.5314
- total energy (eV for the cell shown) = -69.54

abc: 7.785 7.785 10.440
angles: 90.00 90.00 90.00
Space group I4/mmm (No. 139)
Symmetry-distinct sites (fractional):
1 Rb 0.000 0.500 0.250 [4 per cell]
2 Ca 0.000 0.000 0.000 [2 per cell]
3 As 0.000 0.000 0.500 [2 per cell]
4 Cl 0.000 0.000 0.263 [4 per cell]
5 Cl 0.245 0.245 0.000 [8 per cell]

=====

4.
A relaxed structure of Cs2CdInI5. Source: the Alexandria database, functional GGA-PBE.

- formation energy from raw total energies (meV/atom) = -943
- volume (Å³ per cell) = 1810.6
- total energy (eV for the cell shown) = -86.38

abc: 4.867 21.304 17.461
angles: 90.00 90.00 90.00
Space group Cmc2_1 (No. 36)
Symmetry-distinct sites (fractional):
1 Cs 0.000 0.083 0.000 [4 per cell]
2 Cs 0.000 0.148 0.645 [4 per cell]
3 Cd 0.000 0.223 0.380 [4 per cell]
4 In 0.000 0.459 0.803 [4 per cell]
5 I 0.000 0.091 0.424 [4 per cell]
6 I 0.000 0.260 0.999 [4 per cell]
7 I 0.000 0.308 0.766 [4 per cell]
8 I 0.000 0.354 0.336 [4 per cell]
9 I 0.000 0.493 0.123 [4 per cell]

=====

5.
A relaxed structure of Cs2CaW2. Source: the Alexandria database, functional GGA-PBE.

- formation energy from the elements (eV per formula unit) = 8.8
- volume (Å³ per cell) = 401.2
- N(E_F) (states/eV per atom) = 0.8958
- total energy (eV for the cell shown) = -41.64

abc: 10.971 10.971 3.333
angles: 90.00 90.00 90.00
Space group P4/mbm (No. 127)
Symmetry-distinct sites (fractional):
1 Cs 0.212 0.288 0.000 [4 per cell]
2 Ca 0.000 0.000 0.000 [2 per cell]
3 W 0.070 0.570 0.500 [4 per cell]

=====

6.
A relaxed structure of YTePtI2. Source: the Alexandria database, functional GGA-PBE.

- formation energy from raw total energies (meV/atom) = 195
- volume (Å³ per cell) = 206.2
- N(E_F) (states/eV per atom) = 1.1387
- total energy (eV for the cell shown) = -17.77

abc: 5.816 5.816 6.095
angles: 90.00 90.00 90.00
Space group P4/mmm (No. 123)
Symmetry-distinct sites (fractional):
1 Y 0.000 0.000 0.000 [1 per cell]
2 Te 0.000 0.000 0.500 [1 per cell]
3 Pt 0.500 0.500 0.500 [1 per cell]
4 I 0.000 0.500 0.000 [2 per cell]

=====

7.
A relaxed structure of Pr5NdRh4. Source: the Alexandria database, functional GGA-PBE.

- formation energy from the elements (eV per formula unit) = -5.2
- volume (Å³ per cell) = 570.4
- N(E_F) (states/eV per atom) = 0.5998
- total energy (eV for the cell shown) = -126.55

abc: 18.794 4.334 7.662
angles: 90.00 113.95 90.00
Space group C2/m (No. 12)
Symmetry-distinct sites (fractional):
1 Pr 0.000 0.000 0.000 [2 per cell]
2 Pr 0.164 0.500 0.420 [4 per cell]
3 Pr 0.164 0.500 0.909 [4 per cell]
4 Nd 0.000 0.000 0.500 [2 per cell]
5 Rh 0.000 0.500 0.245 [4 per cell]
6 Rh 0.197 0.000 0.697 [4 per cell]

=====

8.
A relaxed structure of ZnBH6. Source: the Alexandria database, functional GGA-PBE.

- volume (Å³ per cell) = 113.8
- N(E_F) (states/eV per atom) = 0.1407
- total energy (eV for the cell shown) = -49.22

abc: 3.907 7.761 3.894
angles: 90.00 105.46 90.00
Space group C2/m (No. 12)
Symmetry-distinct sites (fractional):
1 Zn 0.000 0.000 0.000 [2 per cell]
2 B 0.000 0.500 0.500 [2 per cell]
3 H 0.203 0.364 0.707 [8 per cell]
4 H 0.215 0.500 0.287 [4 per cell]

=====

9.
A relaxed structure of BaYPd2C. Source: the Alexandria database, functional GGA-PBE.

- formation energy from the elements (eV per formula unit) = 11.5
- volume (Å³ per cell) = 177.9
- N(E_F) (states/eV per atom) = 0.9433
- total energy (eV for the cell shown) = -16.51

abc: 5.173 5.173 6.648
angles: 90.00 90.00 90.00
Space group P4/mmm (No. 123)
Symmetry-distinct sites (fractional):
1 Ba 0.000 0.000 0.000 [1 per cell]
2 Y 0.000 0.000 0.500 [1 per cell]
3 Pd 0.000 0.500 0.000 [2 per cell]
4 C 0.500 0.500 0.500 [1 per cell]

=====

10.
A relaxed structure of Co2MoRh. Source: the Alexandria database, functional GGA-PBE.

- formation energy from the elements (eV per formula unit) = 0.7
- volume (Å³ per cell) = 158.6
- N(E_F) (states/eV per atom) = 1.1905
- total energy (eV for the cell shown) = -95.14

abc: 2.6666 2.6666 25.7543
angles: 90.00 90.00 120.00
Space group R-3m (No. 166, hexagonal axes)
Symmetry-distinct sites (fractional):
1 Co 0.0000 0.0000 0.2487 [6 per cell]
2 Mo 0.0000 0.0000 0.0000 [3 per cell]
3 Rh 0.0000 0.0000 0.5000 [3 per cell]

=====

11.
A relaxed structure of PmCd3. Source: the Alexandria database, functional GGA-PBE.

- formation energy from the elements (eV per formula unit) = -1.2
- volume (Å³ per cell) = 192.7
- N(E_F) (states/eV per atom) = 0.4880
- total energy (eV for the cell shown) = -17.42

abc: 5.152 5.152 7.259
angles: 90.00 90.00 90.00
Space group I4/mmm (No. 139)
Symmetry-distinct sites (fractional):
1 Pm 0.000 0.000 0.000 [2 per cell]
2 Cd 0.000 0.000 0.500 [2 per cell]
3 Cd 0.000 0.500 0.250 [4 per cell]

=====

12.
A relaxed structure of LiGa2Ag2. Source: the Alexandria database, functional GGA-PBE.

- formation energy from the elements (eV per formula unit) = -0.8
- volume (Å³ per cell) = 167.8
- N(E_F) (states/eV per atom) = 0.1716
- total energy (eV for the cell shown) = -28.97

abc: 8.937 4.127 6.152
angles: 90.00 132.32 90.00
Space group C2/m (No. 12)
Symmetry-distinct sites (fractional):
1 Li 0.000 0.000 0.000 [2 per cell]
2 Ga 0.199 0.000 0.606 [4 per cell]
3 Ag 0.089 0.500 0.804 [4 per cell]